Compound: TlCr2Pt
Source: Alexandria
Functional: GGA-PBE
Structure: relaxed

energy of formation = 926 meV per atom
space group = I-42d
magnetic moment = 0.0 μB per cell
crystal system = tetragonal
total DFT energy (no corrections) = -5.99 eV/atom
DOS at the Fermi energy = 8.37 states/eV/f.u.

Unit cell a=5.7254 b=5.7254 c=5.7254 alpha=102.77 beta=102.77 gamma=123.90
Closest atoms and distances in Å follow each position.
Element x y z (fractional)
Tl (0.0000, 0.0000, 0.0000)  2 Pt 2.69, 4 Cr 2.77
Tl (0.7500, 0.2500, 0.5000)  2 Pt 2.69, 4 Cr 2.77
Cr (0.1556, 0.6250, 0.0306)  2 Pt 2.47, 2 Cr 2.73
Cr (0.3750, 0.4056, 0.5306)  2 Pt 2.47, 2 Cr 2.73
Cr (0.5944, 0.1250, 0.9694)  2 Pt 2.47, 2 Cr 2.73
Cr (0.8750, 0.8444, 0.4694)  2 Pt 2.47, 2 Cr 2.73
Pt (0.2500, 0.7500, 0.5000)  4 Cr 2.47, 2 Tl 2.69
Pt (0.5000, 0.5000, 0.0000)  4 Cr 2.47, 2 Tl 2.69

---

Compound: GaNi2
Source: Alexandria
Functional: GGA-PBE
Structure: relaxed

energy of formation = -345 meV per atom
space group = C2/m
magnetic moment = 0.0 μB per cell
crystal system = monoclinic
total DFT energy (no corrections) = -5.21 eV/atom
DOS at the Fermi energy = 1.78 states/eV/f.u.

Unit cell a=4.2978 b=4.2978 c=5.0791 alpha=102.03 beta=102.03 gamma=50.92
Closest atoms and distances in Å follow each position.
Element x y z (fractional)
Ga (0.1550, 0.1550, 0.3053)  10 Ni 2.46-2.63
Ga (0.8450, 0.8450, 0.6947)  10 Ni 2.46-2.63
Ni (0.1717, 0.1717, 0.8211)  5 Ga 2.46-2.59, 7 Ni 2.50-2.68
Ni (0.5000, 0.5000, 0.0000)  8 Ni 2.50-2.56, 4 Ga 2.53
Ni (0.5000, 0.5000, 0.5000)  6 Ga 2.53-2.63, 6 Ni 2.54-2.62
Ni (0.8283, 0.8283, 0.1789)  5 Ga 2.46-2.59, 7 Ni 2.50-2.68

---

Compound: La3SmOs
Source: Alexandria
Functional: GGA-PBE
Structure: relaxed

energy of formation = -94 meV per atom
space group = Cm
magnetic moment = 0.0 μB per cell
crystal system = monoclinic
total DFT energy (no corrections) = -6.24 eV/atom
DOS at the Fermi energy = 5.58 states/eV/f.u.

Unit cell a=6.5535 b=6.5535 c=14.0513 alpha=113.02 beta=113.02 gamma=35.35
Closest atoms and distances in Å follow each position.
Element x y z (fractional)
La (0.0000, 0.0000, 0.0000)  2 Os 2.85
La (0.0114, 0.0114, 0.3747)  1 Os 3.55, 3 Sm 3.60-3.85, 6 La 3.66-3.78
La (0.2153, 0.2153, 0.8607)  3 Os 2.89-3.20
La (0.3193, 0.3193, 0.1373)  2 Os 3.08
La (0.6520, 0.6520, 0.2383)  9 La 3.57-3.98, 1 Os 3.66, 2 Sm 3.86
La (0.6680, 0.6680, 0.6099)  2 Os 2.85
Sm (0.3487, 0.3487, 0.4831)  2 Os 2.99
Sm (0.4554, 0.4554, 0.7515)  3 Os 2.92-3.12
Os (0.0140, 0.0140, 0.6285)  2 La 2.85, 4 Sm 2.92-2.99
Os (0.6518, 0.6518, 0.9777)  6 La 2.85-3.08, 1 Sm 3.12